[1]
DFT (PBE) results for P5Pb after structural relaxation.

symmetry: Cm, No. 8

Cell: 6.921 6.921 6.406 Å, 97.43 97.43 27.75°
Atoms (fractional coordinates):
P1 0.000 0.000 0.000
P2 0.021 0.021 0.669
P3 0.312 0.312 0.522
P4 0.637 0.637 0.706
P5 0.707 0.707 0.410
Pb1 0.323 0.323 0.987

=====

[2]
DFT (PBE) results for PPb3 after structural relaxation.

symmetry: Pmm2, No. 25

Cell: 4.176 5.598 5.128 Å, 90.00 90.00 90.00°
Atoms (fractional coordinates):
P1 0.000 0.000 0.000
Pb1 0.000 0.500 0.805
Pb2 0.500 0.000 0.641
Pb3 0.500 0.500 0.296

=====

[3]
DFT (PBE) results for PPb3 after structural relaxation.

symmetry: Cmmm, No. 65

Cell: 5.205 5.205 4.137 Å, 90.00 90.00 98.37°
Atoms (fractional coordinates):
P1 0.000 0.000 0.000
Pb1 0.000 0.500 0.500
Pb2 0.500 0.000 0.500
Pb3 0.500 0.500 0.000

=====

[4]
DFT (PBE) results for PPb2 after structural relaxation.

symmetry: Pnnm, No. 58

Cell: 5.971 7.343 4.079 Å, 90.00 90.00 90.00°
Atoms (fractional coordinates):
P1 0.000 0.000 0.000
P2 0.500 0.500 0.500
Pb1 0.210 0.354 0.000
Pb2 0.290 0.854 0.500
Pb3 0.710 0.146 0.500
Pb4 0.790 0.646 0.000

=====

[5]
DFT (PBE) results for PPb2 after structural relaxation.

symmetry: P6_3/mmc, No. 194

Cell: 8.367 8.367 6.464 Å, 90.00 90.00 120.00°
Atoms (fractional coordinates):
P1 0.333 0.667 0.088
P2 0.333 0.667 0.412
P3 0.667 0.333 0.588
P4 0.667 0.333 0.912
Pb1 0.000 0.000 0.000
Pb2 0.000 0.000 0.500
Pb3 0.198 0.395 0.750
Pb4 0.198 0.802 0.750
Pb5 0.395 0.198 0.250
Pb6 0.605 0.802 0.750
Pb7 0.802 0.198 0.250
Pb8 0.802 0.605 0.250

=====

[6]
DFT (PBE) results for P5Pb3 after structural relaxation.

symmetry: P6_3/mcm, No. 193

Cell: 9.463 9.463 4.781 Å, 90.00 90.00 120.00°
Atoms (fractional coordinates):
P1 0.000 0.142 0.250
P2 0.000 0.858 0.750
P3 0.142 0.000 0.250
P4 0.142 0.142 0.750
P5 0.333 0.667 0.000
P6 0.333 0.667 0.500
P7 0.667 0.333 0.000
P8 0.667 0.333 0.500
P9 0.858 0.000 0.750
P10 0.858 0.858 0.250
Pb1 0.000 0.381 0.750
Pb2 0.000 0.619 0.250
Pb3 0.381 0.000 0.750
Pb4 0.381 0.381 0.250
Pb5 0.619 0.000 0.250
Pb6 0.619 0.619 0.750

=====

[7]
DFT (PBE) results for PPb3 after structural relaxation.

symmetry: Pmmn, No. 59

Cell: 6.143 6.360 6.284 Å, 90.00 90.00 90.00°
Atoms (fractional coordinates):
P1 0.250 0.250 0.064
P2 0.750 0.750 0.936
Pb1 0.250 0.002 0.432
Pb2 0.250 0.498 0.432
Pb3 0.250 0.750 0.965
Pb4 0.750 0.250 0.035
Pb5 0.750 0.502 0.568
Pb6 0.750 0.998 0.568

=====

[8]
DFT (PBE) results for P2Pb after structural relaxation.

symmetry: I4_1/amd, No. 141

Cell: 7.922 7.922 7.922 Å, 148.90 148.90 44.56°
Atoms (fractional coordinates):
P1 0.295 0.545 0.750
P2 0.455 0.705 0.750
P3 0.545 0.295 0.250
P4 0.705 0.455 0.250
Pb1 0.125 0.875 0.250
Pb2 0.875 0.125 0.750

=====

[9]
DFT (PBE) results for PPb2 after structural relaxation.

symmetry: P6_3/mmc, No. 194

Cell: 5.282 5.282 6.520 Å, 90.00 90.00 120.00°
Atoms (fractional coordinates):
P1 0.333 0.667 0.250
P2 0.667 0.333 0.750
Pb1 0.000 0.000 0.000
Pb2 0.000 0.000 0.500
Pb3 0.333 0.667 0.750
Pb4 0.667 0.333 0.250

=====

[10]
DFT (PBE) results for PPb2 after structural relaxation.

symmetry: Cmcm, No. 63

Cell: 7.188 7.188 6.049 Å, 90.00 90.00 146.76°
Atoms (fractional coordinates):
P1 0.190 0.810 0.750
P2 0.810 0.190 0.250
Pb1 0.169 0.831 0.250
Pb2 0.448 0.552 0.250
Pb3 0.552 0.448 0.750
Pb4 0.831 0.169 0.750

=====

[11]
DFT (PBE) results for PPb2 after structural relaxation.

symmetry: Fm-3m, No. 225

Cell: 5.025 5.025 5.025 Å, 60.00 60.00 60.00°
Atoms (fractional coordinates):
P1 0.000 0.000 0.000
Pb1 0.250 0.250 0.250
Pb2 0.750 0.750 0.750

=====

[12]
DFT (PBE) results for PPb4 after structural relaxation.

symmetry: Pm-3m, No. 221

Cell: 5.468 5.468 5.468 Å, 90.00 90.00 90.00°
Atoms (fractional coordinates):
P1 0.000 0.000 0.000
Pb1 0.000 0.000 0.500
Pb2 0.000 0.500 0.000
Pb3 0.500 0.000 0.000
Pb4 0.500 0.500 0.500

=====

Number 1: polymorph energy (0 for the lowest one) 0.000 eV per atom, volume 23.60 A^3/atom. Number 2: polymorph energy (0 for the lowest one) 0.102 eV per atom, volume 29.98 A^3/atom. Number 3: polymorph energy (0 for the lowest one) 0.140 eV per atom, volume 27.72 A^3/atom. Number 4: polymorph energy (0 for the lowest one) 0.088 eV per atom, volume 29.81 A^3/atom. Number 5: polymorph energy (0 for the lowest one) 0.301 eV per atom, volume 32.66 A^3/atom. Number 6: polymorph energy (0 for the lowest one) 0.277 eV per atom, volume 23.17 A^3/atom. Number 7: polymorph energy (0 for the lowest one) 0.101 eV per atom, volume 30.69 A^3/atom. Number 8: polymorph energy (0 for the lowest one) 0.315 eV per atom, volume 22.05 A^3/atom. Number 9: polymorph energy (0 for the lowest one) 0.170 eV per atom, volume 26.26 A^3/atom. Number 10: polymorph energy (0 for the lowest one) 0.026 eV per atom, volume 28.56 A^3/atom. Number 11: polymorph energy (0 for the lowest one) 0.170 eV per atom, volume 29.91 A^3/atom. Number 12: polymorph energy (0 for the lowest one) 0.061 eV per atom, volume 32.69 A^3/atom.